The following is a DFT calculation (PBE) of an optimized crystal structure of La7Pr2Th2.

Cell: 8.9081 6.1965 8.9081 Å, 63.77 98.80 116.23°
With the nearest neighbours (Å) after each atom.
Fractional coordinates of all 11 atoms:
1 La 0.4076 0.1961 0.0337  2 La 3.17-3.29, 1 Th 3.51, 1 Pr 3.53
2 La 0.0337 0.8039 0.4076  2 La 3.17-3.29, 1 Th 3.51, 1 Pr 3.53
3 La 0.5924 0.8039 0.9663  2 La 3.17-3.29, 1 Th 3.51, 1 Pr 3.53
4 La 0.9663 0.1961 0.5924  2 La 3.17-3.29, 1 Th 3.51, 1 Pr 3.53
5 La 0.5621 0.3312 0.4379  2 La 3.36-3.41, 1 Pr 3.65, 2 Th 3.66
6 La 0.0000 0.0000 0.0000  4 La 3.29, 2 Pr 3.66
7 La 0.4379 0.6688 0.5621  2 La 3.36-3.41, 1 Pr 3.65, 2 Th 3.66
8 Pr 0.2160 0.8257 0.7840  2 Th 3.50, 7 La 3.53-3.83
9 Pr 0.7840 0.1743 0.2160  2 Th 3.50, 7 La 3.53-3.83
10 Th 0.7804 0.5000 0.7804  2 Pr 3.50, 6 La 3.51-3.66
11 Th 0.2196 0.5000 0.2196  2 Pr 3.50, 6 La 3.51-3.66

Results
**D(E_F)**: 1.5751 states/eV per atom
**E_form**: 1.60 eV per formula unit
**Symmetry**: C2/m, No. 12

=====

The following is a DFT calculation (PBE) of an optimized crystal structure of La6PrTm2Th.

Cell: 9.9750 8.9519 8.9519 Å, 116.54 94.78 94.78°
With the nearest neighbours (Å) after each atom.
Fractional coordinates of all 20 atoms:
1 La 0.0561 0.1067 0.7536  6 La 3.49-3.88, 2 Tm 3.57-3.83, 1 Pr 3.63
2 La 0.4439 0.2464 0.8933  6 La 3.49-3.88, 2 Tm 3.57-3.83, 1 Pr 3.63
3 La 0.9439 0.8933 0.2464  6 La 3.49-3.88, 2 Tm 3.57-3.83, 1 Pr 3.63
4 La 0.5561 0.7536 0.1067  6 La 3.49-3.88, 2 Tm 3.57-3.83, 1 Pr 3.63
5 La 0.3096 0.9962 0.4340  3 La 3.37-3.75, 1 Th 3.42, 1 Tm 3.54, 1 Pr 3.57
6 La 0.1904 0.5660 0.0038  3 La 3.37-3.75, 1 Th 3.42, 1 Tm 3.54, 1 Pr 3.57
7 La 0.6904 0.0038 0.5660  3 La 3.37-3.75, 1 Th 3.42, 1 Tm 3.54, 1 Pr 3.57
8 La 0.8096 0.4340 0.9962  3 La 3.37-3.75, 1 Th 3.42, 1 Tm 3.54, 1 Pr 3.57
9 La 0.1213 0.7001 0.4914  3 Tm 3.35-3.51, 3 La 3.36-3.49, 2 Th 3.45-3.67
10 La 0.3787 0.5086 0.2999  3 Tm 3.35-3.51, 3 La 3.36-3.49, 2 Th 3.45-3.67
11 La 0.8787 0.2999 0.5086  3 Tm 3.35-3.51, 3 La 3.36-3.49, 2 Th 3.45-3.67
12 La 0.6213 0.4914 0.7001  3 Tm 3.35-3.51, 3 La 3.36-3.49, 2 Th 3.45-3.67
13 Pr 0.2500 0.9748 0.0252  4 Tm 3.45-3.47, 4 La 3.57-3.63
14 Pr 0.7500 0.0252 0.9748  4 Tm 3.45-3.47, 4 La 3.57-3.63
15 Tm 0.4510 0.8025 0.7113  5 La 3.35-3.57, 2 Pr 3.45-3.47, 1 Th 3.58
16 Tm 0.0490 0.2887 0.1975  5 La 3.35-3.57, 2 Pr 3.45-3.47, 1 Th 3.58
17 Tm 0.5490 0.1975 0.2887  5 La 3.35-3.57, 2 Pr 3.45-3.47, 1 Th 3.58
18 Tm 0.9510 0.7113 0.8025  5 La 3.35-3.57, 2 Pr 3.45-3.47, 1 Th 3.58
19 Th 0.2500 0.4068 0.5932  6 La 3.42-3.67, 2 Tm 3.58
20 Th 0.7500 0.5932 0.4068  6 La 3.42-3.67, 2 Tm 3.58

Results
**D(E_F)**: 1.4479 states/eV per atom
**E_form**: 1.24 eV per formula unit
**Symmetry**: C2/c, No. 15

=====

The following is a DFT calculation (PBE) of an optimized crystal structure of La2PrTm4Th.

Cell: 3.6033 6.2738 13.1022 Å, 61.25 90.00 90.00°
With the nearest neighbours (Å) after each atom.
Fractional coordinates of all 8 atoms:
1 La 0.0000 0.0000 0.0000  6 Tm 3.56-3.60, 2 La 3.60, 4 Pr 3.62
2 La 0.5000 0.0000 0.5000  6 Tm 3.51-3.54, 2 La 3.60, 4 Th 3.62
3 Pr 0.5000 0.5000 0.0000  6 Tm 3.58-3.63, 2 Pr 3.60, 4 La 3.62
4 Tm 0.0000 0.9255 0.7474  1 Th 3.50, 3 La 3.54-3.56, 6 Tm 3.56-3.67, 2 Pr 3.58
5 Tm 0.0000 0.0745 0.2526  1 Th 3.50, 3 La 3.54-3.56, 6 Tm 3.56-3.67, 2 Pr 3.58
6 Tm 0.5000 0.5811 0.2561  2 Th 3.49, 3 La 3.51-3.60, 6 Tm 3.56-3.67, 1 Pr 3.63
7 Tm 0.5000 0.4189 0.7439  2 Th 3.49, 3 La 3.51-3.60, 6 Tm 3.56-3.67, 1 Pr 3.63
8 Th 0.0000 0.5000 0.5000  6 Tm 3.49-3.50, 2 Th 3.60, 4 La 3.62

Results
**D(E_F)**: 1.3358 states/eV per atom
**E_form**: 0.10 eV per formula unit
**Symmetry**: P2/m, No. 10

=====

The following is a DFT calculation (PBE) of an optimized crystal structure of La6PrTmTh2.

Cell: 10.7165 8.7811 8.7811 Å, 117.26 97.59 97.59°
With the nearest neighbours (Å) after each atom.
Fractional coordinates of all 20 atoms:
1 La 0.0442 0.1070 0.7398  2 Th 3.49-3.65, 4 La 3.54-3.70, 1 Pr 3.58, 1 Tm 3.91
2 La 0.4558 0.2602 0.8930  2 Th 3.49-3.65, 4 La 3.54-3.70, 1 Pr 3.58, 1 Tm 3.91
3 La 0.9558 0.8930 0.2602  2 Th 3.49-3.65, 4 La 3.54-3.70, 1 Pr 3.58, 1 Tm 3.91
4 La 0.5442 0.7398 0.1070  2 Th 3.49-3.65, 4 La 3.54-3.70, 1 Pr 3.58, 1 Tm 3.91
5 La 0.3314 0.9896 0.4364  1 Tm 3.51, 4 La 3.54-3.84, 2 Th 3.57-3.78, 1 Pr 3.76
6 La 0.1686 0.5636 0.0104  1 Tm 3.51, 4 La 3.54-3.84, 2 Th 3.57-3.78, 1 Pr 3.76
7 La 0.6686 0.0104 0.5636  1 Tm 3.51, 4 La 3.54-3.84, 2 Th 3.57-3.78, 1 Pr 3.76
8 La 0.8314 0.4364 0.9896  1 Tm 3.51, 4 La 3.54-3.84, 2 Th 3.57-3.78, 1 Pr 3.76
9 La 0.1159 0.6852 0.4913  3 Th 3.33-3.70, 1 Tm 3.45, 4 La 3.54-3.70
10 La 0.3841 0.5087 0.3148  3 Th 3.33-3.70, 1 Tm 3.45, 4 La 3.54-3.70
11 La 0.8841 0.3148 0.5087  3 Th 3.33-3.70, 1 Tm 3.45, 4 La 3.54-3.70
12 La 0.6159 0.4913 0.6852  3 Th 3.33-3.70, 1 Tm 3.45, 4 La 3.54-3.70
13 Pr 0.2500 0.9918 0.0082  4 Th 3.34-3.43, 2 La 3.58
14 Pr 0.7500 0.0082 0.9918  4 Th 3.34-3.43, 2 La 3.58
15 Tm 0.2500 0.4017 0.5983  6 La 3.45-3.80, 2 Th 3.55
16 Tm 0.7500 0.5983 0.4017  6 La 3.45-3.80, 2 Th 3.55
17 Th 0.4544 0.8154 0.7360  6 La 3.33-3.70, 2 Pr 3.34-3.43, 1 Tm 3.55
18 Th 0.0457 0.2640 0.1846  6 La 3.33-3.70, 2 Pr 3.34-3.43, 1 Tm 3.55
19 Th 0.5456 0.1846 0.2640  6 La 3.33-3.70, 2 Pr 3.34-3.43, 1 Tm 3.55
20 Th 0.9544 0.7360 0.8154  6 La 3.33-3.70, 2 Pr 3.34-3.43, 1 Tm 3.55

Results
**D(E_F)**: 1.5916 states/eV per atom
**E_form**: 1.37 eV per formula unit
**Symmetry**: C2/c, No. 15

=====

The following is a DFT calculation (PBE) of an optimized crystal structure of LaPr4Tm2Th.

Cell: 5.1443 6.3416 9.6287 Å, 90.35 74.51 66.07°
With the nearest neighbours (Å) after each atom.
Fractional coordinates of all 8 atoms:
1 La 0.0000 0.0000 0.0000  8 Pr 3.67-3.68, 4 Tm 3.69
2 Pr 0.1264 0.1262 0.6210  4 Tm 3.57-3.69, 4 Pr 3.60-3.63, 3 Th 3.63-3.66, 1 La 3.68
3 Pr 0.3777 0.3742 0.8704  1 Th 3.60, 4 Tm 3.62-3.72, 4 Pr 3.63-3.69, 3 La 3.67
4 Pr 0.8736 0.8738 0.3790  4 Tm 3.57-3.69, 4 Pr 3.60-3.63, 3 Th 3.63-3.66, 1 La 3.68
5 Pr 0.6223 0.6258 0.1296  1 Th 3.60, 4 Tm 3.62-3.72, 4 Pr 3.63-3.69, 3 La 3.67
6 Tm 0.7587 0.7389 0.7437  8 Pr 3.57-3.72, 2 Th 3.58, 2 La 3.69
7 Tm 0.2413 0.2611 0.2563  8 Pr 3.57-3.72, 2 Th 3.58, 2 La 3.69
8 Th 0.5000 0.5000 0.5000  4 Tm 3.58, 8 Pr 3.60-3.66

Results
**D(E_F)**: 1.7528 states/eV per atom
**E_form**: 0.36 eV per formula unit
**Symmetry**: C2/m, No. 12

=====

The following is a DFT calculation (PBE) of an optimized crystal structure of LaPr2TmTh.

Cell: 6.2888 8.7711 6.4548 Å, 90.08 90.00 90.00°
With the nearest neighbours (Å) after each atom.
Fractional coordinates of all 10 atoms:
1 La 0.5345 0.0000 0.2500  2 Pr 3.16, 2 La 3.26, 2 Th 3.34
2 La 0.4655 0.0000 0.7500  2 Pr 3.16, 2 La 3.26, 2 Th 3.34
3 Pr 0.7144 0.6868 0.7503  1 La 3.16, 1 Pr 3.28, 1 Tm 3.42
4 Pr 0.7144 0.3132 0.7497  1 La 3.16, 1 Pr 3.28, 1 Tm 3.42
5 Pr 0.2856 0.6868 0.2503  1 La 3.16, 1 Pr 3.28, 1 Tm 3.42
6 Pr 0.2856 0.3132 0.2497  1 La 3.16, 1 Pr 3.28, 1 Tm 3.42
7 Tm 0.1923 0.5000 0.7500  8 Pr 3.42-3.67
8 Tm 0.8077 0.5000 0.2500  8 Pr 3.42-3.67
9 Th 0.0000 0.0000 0.0000  2 Th 3.23, 2 La 3.34
10 Th 0.0000 0.0000 0.5000  2 Th 3.23, 2 La 3.34

Results
**D(E_F)**: 1.3212 states/eV per atom
**E_form**: 1.53 eV per formula unit
**Symmetry**: P2/c, No. 13

=====

The following is a DFT calculation (PBE) of an optimized crystal structure of La5PrTm2Th.

Cell: 5.5212 11.2712 10.6842 Å, 90.00 90.00 104.18°
With the nearest neighbours (Å) after each atom.
Fractional coordinates of all 18 atoms:
1 La 0.3730 0.7461 0.0082  1 Th 3.44, 4 La 3.85
2 La 0.7237 0.4474 0.8163  2 La 3.24, 1 Pr 3.38, 3 Th 3.44-3.55
3 La 0.5000 0.0001 0.7581  2 Pr 3.46, 4 Tm 3.71, 6 La 3.84-3.85
4 La 0.2765 0.5529 0.7005  2 La 3.24, 1 Pr 3.38, 3 Th 3.44-3.55
5 La 0.0041 0.0083 0.5081  2 Pr 3.59, 4 Tm 3.63-3.65, 6 La 3.84-3.85
6 La 0.6270 0.2539 0.5082  1 Th 3.44, 4 La 3.85
7 La 0.2763 0.5526 0.3163  2 La 3.24, 1 Pr 3.38, 3 Th 3.44-3.55
8 La 0.5000 0.9999 0.2581  2 Pr 3.46, 4 Tm 3.71, 6 La 3.84-3.85
9 La 0.7235 0.4471 0.2005  2 La 3.24, 1 Pr 3.38, 3 Th 3.44-3.55
10 La 0.9959 0.9917 0.0081  2 Pr 3.59, 4 Tm 3.63-3.65, 6 La 3.84-3.85
11 Pr 0.6007 0.2014 0.0081  6 La 3.38-3.59, 2 Th 3.73, 4 Tm 3.78
12 Pr 0.3993 0.7986 0.5081  6 La 3.38-3.59, 2 Th 3.73, 4 Tm 3.78
13 Tm 0.8870 0.7740 0.7489  1 Th 3.41, 7 La 3.63-3.71, 2 Pr 3.78
14 Tm 0.1131 0.2262 0.7674  1 Th 3.41, 7 La 3.63-3.71, 2 Pr 3.78
15 Tm 0.1130 0.2260 0.2489  1 Th 3.41, 7 La 3.63-3.71, 2 Pr 3.78
16 Tm 0.8869 0.7738 0.2674  1 Th 3.41, 7 La 3.63-3.71, 2 Pr 3.78
17 Th 0.7844 0.5689 0.5083  2 Tm 3.41, 7 La 3.44-3.55, 2 Pr 3.73
18 Th 0.2156 0.4311 0.0083  2 Tm 3.41, 7 La 3.44-3.55, 2 Pr 3.73

Results
**D(E_F)**: 1.4563 states/eV per atom
**E_form**: 1.19 eV per formula unit
**Symmetry**: Cmcm, No. 63

=====

The following is a DFT calculation (PBE) of an optimized crystal structure of LaPr5Tm2Th.

Cell: 5.7552 10.6388 10.6764 Å, 90.00 90.00 105.69°
With the nearest neighbours (Å) after each atom.
Fractional coordinates of all 18 atoms:
1 La 0.5860 0.1719 0.9462  5 Pr 3.12-3.40
2 La 0.4140 0.8281 0.4462  5 Pr 3.12-3.40
3 Pr 0.3838 0.7676 0.0272  6 Pr 3.61-3.97, 4 Tm 3.65-3.66, 1 Th 3.82
4 Pr 0.7220 0.4441 0.8158  1 La 3.12, 1 Tm 3.31, 2 Pr 3.43
5 Pr 0.4773 0.9546 0.7409  2 La 3.12-3.40
6 Pr 0.2903 0.5806 0.7011  2 Pr 3.43, 2 Th 3.51, 3 Tm 3.67-3.68, 1 La 3.72
7 Pr 0.9851 0.9702 0.5240  2 La 3.33, 3 Tm 3.46-3.64, 2 Pr 3.70
8 Pr 0.6162 0.2324 0.5272  6 Pr 3.61-3.97, 4 Tm 3.65-3.66, 1 Th 3.82
9 Pr 0.2780 0.5559 0.3158  1 La 3.12, 1 Tm 3.31, 2 Pr 3.43
10 Pr 0.5227 0.0454 0.2409  2 La 3.12-3.40
11 Pr 0.7097 0.4194 0.2011  2 Pr 3.43, 2 Th 3.51, 3 Tm 3.67-3.68, 1 La 3.72
12 Pr 0.0149 0.0298 0.0240  2 La 3.33, 3 Tm 3.46-3.64, 2 Pr 3.70
13 Tm 0.8839 0.7677 0.8164  8 Pr 3.31-3.67, 1 Th 3.64
14 Tm 0.1117 0.2233 0.7386  1 Th 3.42, 7 Pr 3.46-3.75, 2 La 3.67
15 Tm 0.1161 0.2323 0.3164  8 Pr 3.31-3.67, 1 Th 3.64
16 Tm 0.8883 0.7767 0.2386  1 Th 3.42, 7 Pr 3.46-3.75, 2 La 3.67
17 Th 0.8025 0.6049 0.5137  2 Tm 3.42-3.64, 7 Pr 3.51-3.82, 2 La 3.74
18 Th 0.1975 0.3951 0.0137  2 Tm 3.42-3.64, 7 Pr 3.51-3.82, 2 La 3.74

Results
**D(E_F)**: 1.4353 states/eV per atom
**E_form**: 1.44 eV per formula unit
**Symmetry**: Cmc2_1, No. 36

=====

The following is a DFT calculation (PBE) of an optimized crystal structure of LaPrTmTh.

Cell: 5.7739 5.7739 5.7739 Å, 60.00 60.00 60.00°
With the nearest neighbours (Å) after each atom.
Fractional coordinates of all 4 atoms:
1 Pr 0.7500 0.7500 0.7500  4 Tm 3.54, 4 Th 3.54
2 Tm 0.0000 0.0000 0.0000  4 Pr 3.54, 4 La 3.54
3 Th 0.5000 0.5000 0.5000  4 La 3.54, 4 Pr 3.54
4 La 0.2500 0.2500 0.2500  4 Th 3.54, 4 Tm 3.54

Results
**D(E_F)**: 2.8645 states/eV per atom
**E_form**: 0.84 eV per formula unit
**Distance to the lowest polymorph of the same formula**: 178 meV per atom
**Symmetry**: F-43m, No. 216

=====

The following is a DFT calculation (PBE) of an optimized crystal structure of La2PrTm5Th.

Cell: 8.6711 8.6711 9.9015 Å, 115.97 115.97 90.00°
With the nearest neighbours (Å) after each atom.
Fractional coordinates of all 18 atoms:
1 La 0.1165 0.3835 0.0000  1 La 2.86, 2 Tm 3.01
2 La 0.6165 0.1165 0.0000  1 La 2.86, 2 Tm 3.01
3 La 0.3835 0.8835 0.0000  1 La 2.86, 2 Tm 3.01
4 La 0.8835 0.6165 0.0000  1 La 2.86, 2 Tm 3.01
5 Pr 0.2500 0.7500 0.5000  4 Tm 3.14
6 Pr 0.7500 0.2500 0.5000  4 Tm 3.14
7 Tm 0.9253 0.4253 0.2824  1 La 3.01, 1 Pr 3.14
8 Tm 0.6429 0.1429 0.7176  1 La 3.01, 1 Pr 3.14
9 Tm 0.0747 0.5747 0.7176  1 La 3.01, 1 Pr 3.14
10 Tm 0.1429 0.0747 0.7176  1 La 3.01, 1 Pr 3.14
11 Tm 0.5747 0.6429 0.7176  1 La 3.01, 1 Pr 3.14
12 Tm 0.8571 0.9253 0.2824  1 La 3.01, 1 Pr 3.14
13 Tm 0.4253 0.3571 0.2824  1 La 3.01, 1 Pr 3.14
14 Tm 0.3571 0.8571 0.2824  1 La 3.01, 1 Pr 3.14
15 Tm 0.5000 0.5000 0.0000  4 La 3.48, 8 Tm 3.79, 2 Th 3.89
16 Tm 0.0000 0.0000 0.0000  4 La 3.48, 8 Tm 3.79, 2 Th 3.89
17 Th 0.2500 0.2500 0.5000  10 Tm 3.53-3.89
18 Th 0.7500 0.7500 0.5000  10 Tm 3.53-3.89

Results
**D(E_F)**: 1.4050 states/eV per atom
**E_form**: 2.48 eV per formula unit
**Symmetry**: I4/mcm, No. 140

=====

The following is a DFT calculation (PBE) of an optimized crystal structure of LaPrTm3Th.

Cell: 3.5851 10.7895 10.6936 Å, 108.89 90.00 90.00°
With the nearest neighbours (Å) after each atom.
Fractional coordinates of all 12 atoms:
1 La 0.2500 0.1289 0.2875  7 Tm 3.49-3.66, 2 La 3.59, 3 Pr 3.65-3.70
2 La 0.7500 0.8711 0.7125  7 Tm 3.49-3.66, 2 La 3.59, 3 Pr 3.65-3.70
3 Pr 0.2500 0.1344 0.6306  3 Tm 3.55-3.57, 2 Th 3.56, 4 Pr 3.59-3.77, 3 La 3.65-3.70
4 Pr 0.7500 0.8656 0.3694  3 Tm 3.55-3.57, 2 Th 3.56, 4 Pr 3.59-3.77, 3 La 3.65-3.70
5 Tm 0.7500 0.8674 0.0381  3 La 3.49-3.66, 2 Th 3.54, 1 Pr 3.55, 6 Tm 3.58-3.68
6 Tm 0.2500 0.1326 0.9619  3 La 3.49-3.66, 2 Th 3.54, 1 Pr 3.55, 6 Tm 3.58-3.68
7 Tm 0.2500 0.6194 0.4561  7 Tm 3.51-3.63, 2 Pr 3.57, 1 Th 3.59, 2 La 3.65
8 Tm 0.7500 0.3806 0.5439  7 Tm 3.51-3.63, 2 Pr 3.57, 1 Th 3.59, 2 La 3.65
9 Tm 0.7500 0.3840 0.2058  3 Th 3.47-3.49, 7 Tm 3.52-3.63, 2 La 3.62
10 Tm 0.2500 0.6160 0.7942  3 Th 3.47-3.49, 7 Tm 3.52-3.63, 2 La 3.62
11 Th 0.2500 0.6224 0.1210  6 Tm 3.47-3.59, 4 Th 3.53-3.59, 2 Pr 3.56
12 Th 0.7500 0.3776 0.8790  6 Tm 3.47-3.59, 4 Th 3.53-3.59, 2 Pr 3.56

Results
**D(E_F)**: 1.4577 states/eV per atom
**E_form**: 0.20 eV per formula unit
**Symmetry**: P2_1/m, No. 11

=====

The following is a DFT calculation (PBE) of an optimized crystal structure of LaPrTmTh.

Cell: 3.6264 3.6264 10.3203 Å, 90.00 90.00 90.00°
With the nearest neighbours (Å) after each atom.
Fractional coordinates of all 4 atoms:
1 La 0.0000 0.0000 0.0798  4 La 3.63, 4 Tm 3.67, 4 Pr 3.81
2 Pr 0.5000 0.5000 0.8066  4 Th 3.58, 4 Pr 3.63, 4 La 3.81
3 Tm 0.5000 0.5000 0.3343  4 Th 3.49, 4 Tm 3.63, 4 La 3.67
4 Th 0.0000 0.0000 0.5640  4 Tm 3.49, 4 Pr 3.58, 4 Th 3.63

Results
**D(E_F)**: 1.3140 states/eV per atom
**E_form**: 0.13 eV per formula unit
**Distance to the lowest polymorph of the same formula**: 0 meV per atom
**Symmetry**: P4mm, No. 99